The following is a GGA-PBE calculation of an optimized crystal structure of BeCu2Au, from Alexandria.

```
BeCu2Au
1.0
3.463 0.000 0.000
0.000 3.463 0.000
1.731 1.731 9.088
Be Cu Au
2 4 2
Direct
0.250 0.750 0.500 Be
0.500 0.500 0.000 Be
0.875 0.866 0.750 Cu
0.134 0.625 0.250 Cu
0.375 0.384 0.750 Cu
0.616 0.125 0.250 Cu
0.750 0.250 0.500 Au
0.000 0.000 0.000 Au
```

Computed properties:
Size of the total moment, μB per atom: 0.0000
DFT formation energy, eV per atom: 0.182
Calculated volume, Å³ per cell: 109.0